SCAN BaZrSi2, single point on PBEsol structure; formation energy without anion corrections = -328 meV/atom; space-group type = C2/m (12); relative energy among the computed polymorphs = 0.073 eV per atom
1.0
4.560 -1.869 0.000
4.560 1.869 0.000
-2.044 0.000 5.942
Ba Zr Si
1 1 2
direct
0.000 0.000 0.000
0.500 0.500 0.500
0.231 0.231 0.611
0.769 0.769 0.389

***

SCAN BaZrSi, single point on PBEsol structure; formation energy without anion corrections = 101 meV/atom; space-group type = I4mm (107)
1.0
-1.636 1.636 7.275
1.636 -1.636 7.275
1.636 1.636 -7.275
Ba Zr Si
1 1 1
direct
0.000 0.000 0.000
0.272 0.272 0.000
0.662 0.662 0.000

***

- What is the formation energy without anion corrections in the first record?
  -328 meV/atom